Crystalline LiFeF3 at its relaxed geometry. Source: Alexandria, functional PBE with a Hubbard U.

Summary:
The value obtained for the energy above the most stable polymorph in this dataset is 8.5 meV per atom. The value obtained for the total energy is -105.46 eV/cell.

CIF file:
```
data_LiFeF3
_symmetry_space_group_name_H-M 'C 1 c 1'
_symmetry_Int_Tables_number 9
_cell_length_a 9.067
_cell_length_b 5.240
_cell_length_c 5.575
_cell_angle_alpha 90.00
_cell_angle_beta 121.53
_cell_angle_gamma 90.00
loop_
_symmetry_equiv_pos_as_xyz
'x,y,z'
'x,-y,z+1/2'
'x+1/2,y+1/2,z'
'x+1/2,-y+1/2,z+1/2'
loop_
_atom_site_label
_atom_site_type_symbol
_atom_site_fract_x
_atom_site_fract_y
_atom_site_fract_z
_atom_site_occupancy
Li1 Li 0.000 0.241 0.000 1
Fe1 Fe 0.291 0.249 0.878 1
F1 F 0.040 0.096 0.677 1
F2 F 0.230 0.397 0.161 1
F3 F 0.388 0.070 0.669 1
```